(1)
A relaxed structure of Li2TmMg6, computed with GGA-PBE.

The value obtained for the spin magnetization is 0.00 Bohr magnetons per cell. The volume comes out at 23.72 Å³/atom. The value obtained for the raw total energy is -1.98 eV per atom. As for the formation energy: 8 meV/atom. The energy above the most stable polymorph in this dataset is 0 meV per atom.

```
Li2TmMg6
1.0
-2.1009 -1.8650 -1.4053
3.0835 2.5013 -7.9294
8.6809 -2.4222 7.5704
Mg Li Tm
6 2 1
direct
0.5000 0.3325 0.0000
0.6453 0.6547 0.6563
0.6453 0.0016 0.6563
0.5000 0.6675 0.0000
0.3547 0.9984 0.3437
0.3547 0.3453 0.3437
0.7401 0.6512 0.3023
0.2599 0.3488 0.6977
0.0000 0.0000 0.0000
```



(2)
A relaxed structure of Na2Cu2Sb3, computed with GGA-PBE.

The value obtained for the spin magnetization is 0.00 Bohr magnetons per cell. The volume comes out at 23.74 Å³/atom. The value obtained for the raw total energy is -3.42 eV per atom. As for the energy relative to the elements, uncorrected: -0.106 eV per atom. The energy above the most stable polymorph in this dataset is 32 meV per atom.

```
Na2Cu2Sb3
1.0
-3.1562 -2.4942 1.3399
3.2131 2.9044 6.0429
-1.4668 5.9567 0.7873
Sb Na Cu
3 2 2
direct
0.0000 0.0000 0.0000
0.1108 0.4679 0.7656
0.8892 0.5321 0.2344
0.3457 0.1913 0.4992
0.6543 0.8087 0.5008
0.3768 0.7373 0.0057
0.6232 0.2627 0.9943
```



(3)
A relaxed structure of TlCd4Br, computed with GGA-PBE.

The value obtained for the spin magnetization is 0.00 Bohr magnetons per cell. The volume comes out at 27.99 Å³/atom. The value obtained for the raw total energy is -1.32 eV per atom. As for the energy relative to the elements, uncorrected: -0.041 eV per atom.

```
TlCd4Br
1.0
3.7541 2.7963 4.0546
-2.1676 1.7462 5.5322
1.8061 -2.9856 5.1163
Br Cd Tl
1 4 1
direct
0.0000 0.0000 0.0000
0.3749 0.3749 0.3749
0.8752 0.3749 0.3749
0.3749 0.8752 0.3749
0.3749 0.3749 0.8752
0.7500 0.7500 0.7500
```



(4)
A relaxed structure of LuScZn4, computed with GGA-PBE.

The value obtained for the spin magnetization is 0.00 Bohr magnetons per cell. The volume comes out at 17.72 Å³/atom. The value obtained for the raw total energy is -2.99 eV per atom. As for the formation energy: -327 meV/atom.

```
LuScZn4
1.0
5.3176 0.0000 0.0000
2.6588 4.6052 0.0000
2.6588 1.5351 4.3418
Zn Lu Sc
4 1 1
direct
0.1240 0.6253 0.6253
0.6253 0.6253 0.1240
0.6253 0.1240 0.6253
0.6253 0.6253 0.6253
0.2500 0.2500 0.2500
0.0000 0.0000 0.0000
```



(5)
A relaxed structure of SrPHN2, computed with GGA-PBE.

The value obtained for the spin magnetization is 0.00 Bohr magnetons per cell. The volume comes out at 13.23 Å³/atom. The value obtained for the raw total energy is -5.74 eV per atom.

```
SrPHN2
1.0
-3.0476 -3.1879 -0.3576
5.1662 -1.5903 -2.4764
0.5816 -1.1718 5.4898
N H Sr P
4 2 2 2
direct
0.8965 0.7930 0.0439
0.4159 0.8319 0.7209
0.1035 0.2070 0.9561
0.5841 0.1681 0.2791
0.5805 0.1611 0.0968
0.4195 0.8389 0.9032
0.3382 0.6764 0.2760
0.6618 0.3236 0.7240
0.0518 0.1035 0.2264
0.9482 0.8965 0.7736
```



(6)
A relaxed structure of Tm3In4Cu2, computed with GGA-PBE.

The value obtained for the spin magnetization is 0.00 Bohr magnetons per cell. The volume comes out at 22.55 Å³/atom. The value obtained for the raw total energy is -3.97 eV per atom. As for the formation energy: -355 meV/atom.

```
Tm3In4Cu2
1.0
4.5470 0.0000 1.2129
1.9761 5.2769 1.7214
0.1808 -0.2399 8.4515
Tm In Cu
3 4 2
direct
0.3296 0.6894 0.6513
0.0000 0.0000 0.0000
0.6704 0.3106 0.3487
0.9570 0.7180 0.3680
0.7253 0.6267 0.9228
0.2747 0.3733 0.0772
0.0430 0.2820 0.6320
0.5980 0.0770 0.7270
0.4020 0.9230 0.2730
```



(7)
A relaxed structure of Dy2HfSb3, computed with GGA-PBE.

The value obtained for the spin magnetization is 0.00 Bohr magnetons per cell. The volume comes out at 27.76 Å³/atom. The value obtained for the raw total energy is -6.10 eV per atom. As for the energy relative to the elements, uncorrected: -0.845 eV per atom.

```
Dy2HfSb3
1.0
4.1792 0.0005 -0.9524
-0.2159 4.1735 -0.9530
-0.0207 -0.0206 9.5583
Sb Dy Hf
3 2 1
direct
0.2735 0.2747 0.5523
0.9340 0.9360 0.8740
0.5952 0.5964 0.1957
0.1033 0.1044 0.2118
0.7654 0.7666 0.5361
0.4340 0.4360 0.8740
```



(8)
A relaxed structure of Sm12SnRu5, computed with GGA-PBE.

The value obtained for the spin magnetization is 0.00 Bohr magnetons per cell. The volume comes out at 26.87 Å³/atom. The value obtained for the raw total energy is -6.26 eV per atom. As for the formation energy: -311 meV/atom.

```
Sm12SnRu5
1.0
-7.0159 2.7327 -4.1072
4.2424 -5.7048 -4.7977
-1.8254 -4.0905 7.3141
Ru Sm Sn
5 12 1
direct
0.3340 0.3340 0.0000
0.6660 0.6660 0.0000
0.5000 0.8787 0.3787
0.5000 0.1213 0.6213
0.0000 0.0000 0.0000
0.6861 0.3273 0.0134
0.8096 0.0387 0.2291
0.8096 0.5805 0.7709
0.1904 0.9613 0.7709
0.9024 0.1785 0.7239
0.4547 0.1785 0.2761
0.5453 0.8215 0.7239
0.1904 0.4195 0.2291
0.3139 0.6727 0.9866
0.6861 0.6727 0.3588
0.0976 0.8215 0.2761
0.3139 0.3273 0.6412
0.0000 0.5000 0.5000
```



(9)
A relaxed structure of Dy2MnCrN5, computed with GGA-PBE.

The value obtained for the spin magnetization is 3.99 Bohr magnetons per cell. The volume comes out at 11.59 Å³/atom. The value obtained for the raw total energy is -8.62 eV per atom. As for the energy relative to the elements, uncorrected: -0.885 eV per atom.

```
Dy2MnCrN5
1.0
3.2062 0.0000 0.0000
-1.6031 6.7426 0.0000
0.0000 0.0000 9.6480
Cr N Mn Dy
2 10 2 4
direct
0.4391 0.8782 0.4447
0.5609 0.1218 0.9447
0.2926 0.5853 0.6572
0.7074 0.4147 0.1572
0.3126 0.6252 0.3844
0.6515 0.3030 0.5044
0.4980 0.9959 0.2878
0.6874 0.3748 0.8844
0.0500 0.1001 0.0355
0.3485 0.6970 0.0044
0.9500 0.8999 0.5355
0.5020 0.0041 0.7878
0.2075 0.4150 0.0242
0.7925 0.5850 0.5242
0.1357 0.2714 0.3135
0.8643 0.7286 0.8135
0.8783 0.7567 0.1723
0.1217 0.2433 0.6723
```



(10)
A relaxed structure of AgBi2S4, computed with GGA-PBE.

The value obtained for the spin magnetization is 0.00 Bohr magnetons per cell. The volume comes out at 24.65 Å³/atom. The value obtained for the raw total energy is -4.00 eV per atom. As for the energy relative to the elements, uncorrected: -0.121 eV per atom. The energy above the most stable polymorph in this dataset is 74 meV per atom.

```
AgBi2S4
1.0
3.9186 0.0000 0.0000
-1.9593 6.4748 0.0000
0.0000 0.0000 13.6018
Bi S Ag
4 8 2
direct
0.1369 0.2739 0.4287
0.8631 0.7261 0.5713
0.1369 0.2739 0.0713
0.8631 0.7261 0.9287
0.9750 0.9500 0.7500
0.7774 0.5547 0.3763
0.7774 0.5547 0.1237
0.0250 0.0500 0.2500
0.5000 0.0000 0.0000
0.2226 0.4453 0.6237
0.2226 0.4453 0.8763
0.5000 0.0000 0.5000
0.4038 0.8076 0.2500
0.5962 0.1924 0.7500
```



(11)
A relaxed structure of RbAg2AsCl6, computed with GGA-PBE.

The value obtained for the spin magnetization is 0.00 Bohr magnetons per cell. The volume comes out at 31.53 Å³/atom. The value obtained for the raw total energy is -3.08 eV per atom. As for the energy relative to the elements, uncorrected: -0.838 eV per atom.

```
RbAg2AsCl6
1.0
-6.6071 -1.7954 1.6685
-1.7639 -6.7768 0.6479
-1.0881 -2.6390 7.9278
Cl As Ag Rb
6 1 2 1
direct
0.1241 0.3599 0.8313
0.9512 0.5729 0.2365
0.6868 0.1266 0.8282
0.2406 0.9516 0.2329
0.3562 0.6894 0.8304
0.5767 0.2379 0.2328
0.3299 0.3302 0.0089
0.5948 0.5917 0.2197
0.9885 0.9878 0.0337
0.8128 0.8135 0.5608
```



(12)
A relaxed structure of U2I8F, computed with GGA-PBE.

The value obtained for the spin magnetization is 3.00 Bohr magnetons per cell. The volume comes out at 57.13 Å³/atom. The value obtained for the raw total energy is -4.39 eV per atom. As for the energy relative to the elements, uncorrected: -1.041 eV per atom.

```
U2I8F
1.0
5.9957 0.4619 1.1858
1.4108 9.8924 3.9027
0.8693 -0.4804 10.6816
I F U
8 1 2
direct
0.8651 0.3661 0.9007
0.6920 0.3120 0.3120
0.3080 0.6880 0.6880
0.1349 0.0993 0.6339
0.8651 0.9007 0.3661
0.1349 0.6339 0.0993
0.3652 0.1325 0.1325
0.6348 0.8675 0.8675
0.0000 0.0000 0.0000
0.8581 0.1376 0.1376
0.1419 0.8624 0.8624
```



(13)
A relaxed structure of TlPbN3, computed with GGA-PBE.

The value obtained for the spin magnetization is 4.08 Bohr magnetons per cell. The volume comes out at 17.90 Å³/atom. The value obtained for the raw total energy is -4.23 eV per atom. As for the energy relative to the elements, uncorrected: 1.980 eV per atom.

```
TlPbN3
1.0
-3.3109 2.7142 1.2961
-2.7474 -3.5136 0.3396
1.2241 -0.5447 4.2677
N Pb Tl
3 1 1
direct
0.0000 0.5000 0.0000
0.0000 0.0000 0.5000
0.5000 0.0000 0.0000
0.0000 0.0000 0.0000
0.5000 0.5000 0.5000
```



(14)
A relaxed structure of Ca2SmCd5, computed with GGA-PBE.

The value obtained for the spin magnetization is 0.00 Bohr magnetons per cell. The volume comes out at 26.13 Å³/atom. The value obtained for the raw total energy is -1.97 eV per atom. As for the formation energy: -311 meV/atom.

```
Ca2SmCd5
1.0
-3.5127 -0.3850 3.9333
3.8169 -1.6949 3.2429
1.2970 8.1020 -1.6028
Ca Cd Sm
2 5 1
direct
0.7414 0.7414 0.4828
0.2586 0.2586 0.5172
0.1194 0.6194 0.2388
0.5000 0.5000 0.0000
0.6194 0.1194 0.2388
0.8806 0.3806 0.7612
0.3806 0.8806 0.7612
0.0000 0.0000 0.0000
```



(15)
A relaxed structure of Sr4GaI2Br, computed with GGA-PBE.

The value obtained for the spin magnetization is 0.00 Bohr magnetons per cell. The volume comes out at 38.92 Å³/atom. The value obtained for the raw total energy is -2.92 eV per atom. As for the energy relative to the elements, uncorrected: -1.100 eV per atom.

```
Sr4GaI2Br
1.0
4.6050 0.0000 0.0000
0.0000 8.2603 0.1759
0.0000 -2.8559 8.1236
I Sr Ga Br
2 4 1 1
direct
0.5000 0.0000 0.5000
0.0000 0.5000 0.5000
0.0000 0.7176 0.2104
0.0000 0.2824 0.7896
0.5000 0.2673 0.2115
0.5000 0.7327 0.7885
0.5000 0.5000 0.0000
0.0000 0.0000 0.0000
```



(16)
A relaxed structure of KZrF2, computed with GGA-PBE.

The value obtained for the spin magnetization is 0.00 Bohr magnetons per cell. The volume comes out at 20.13 Å³/atom. The value obtained for the raw total energy is -5.62 eV per atom. As for the energy relative to the elements, uncorrected: -2.273 eV per atom. The energy above the most stable polymorph in this dataset is 0 meV per atom.

```
KZrF2
1.0
4.8487 -5.5558 1.6830
6.6975 -2.5787 2.3883
4.3899 -3.8627 4.7977
K F Zr
1 2 1
direct
0.5000 0.5000 0.5000
0.9048 0.9048 0.9048
0.0952 0.0952 0.0952
0.0000 0.0000 0.0000
```



(17)
A relaxed structure of Li2Ca, computed with GGA-PBE.

The value obtained for the spin magnetization is 0.00 Bohr magnetons per cell. The volume comes out at 28.01 Å³/atom. The value obtained for the raw total energy is -1.91 eV per atom. As for the formation energy: 38 meV/atom. The energy above the most stable polymorph in this dataset is 49 meV per atom.

```
Li2Ca
1.0
-0.5715 6.6382 4.8442
-0.7065 -8.0759 -1.4623
5.0973 -0.7379 1.6126
Li Ca
4 2
direct
0.7635 0.2365 0.2500
0.5956 0.4044 0.7500
0.4044 0.5956 0.2500
0.2365 0.7635 0.7500
0.0852 0.9148 0.2500
0.9148 0.0852 0.7500
```



(18)
A relaxed structure of TiVIr, computed with GGA-PBE.

The value obtained for the spin magnetization is 0.00 Bohr magnetons per cell. The volume comes out at 14.95 Å³/atom. The value obtained for the raw total energy is -9.03 eV per atom. As for the formation energy: -401 meV/atom. The energy above the most stable polymorph in this dataset is 71 meV per atom.

```
TiVIr
1.0
2.7268 0.0000 0.0000
0.0000 4.7453 0.0000
0.0000 0.0000 6.9329
Ir Ti V
2 2 2
direct
0.5000 0.2500 0.2109
0.5000 0.7500 0.7891
0.0000 0.2500 0.8642
0.0000 0.7500 0.1358
0.0000 0.0000 0.5000
0.0000 0.5000 0.5000
```



(19)
A relaxed structure of PrThSe3, computed with GGA-PBE.

The value obtained for the spin magnetization is 0.00 Bohr magnetons per cell. The volume comes out at 27.18 Å³/atom. The value obtained for the raw total energy is -6.34 eV per atom. As for the energy relative to the elements, uncorrected: -1.810 eV per atom. The energy above the most stable polymorph in this dataset is 0 meV per atom.

```
PrThSe3
1.0
-3.4446 -2.2186 -0.8326
3.2111 -6.3195 3.5548
-6.5025 4.7335 14.2888
Se Th Pr
12 4 4
direct
0.2500 0.8738 0.9300
0.7500 0.9935 0.6015
0.2500 0.3738 0.5700
0.2500 0.0065 0.3985
0.2500 0.5065 0.1015
0.7500 0.4935 0.8985
0.7500 0.8261 0.2199
0.2500 0.1739 0.7801
0.2500 0.6739 0.7199
0.7500 0.1262 0.0700
0.7500 0.6262 0.4300
0.7500 0.3261 0.2801
0.2500 0.2548 0.9575
0.7500 0.7452 0.0425
0.2500 0.7548 0.5425
0.7500 0.2452 0.4575
0.2500 0.6019 0.2948
0.7500 0.3981 0.7052
0.2500 0.1019 0.2052
0.7500 0.8981 0.7948
```



(20)
A relaxed structure of Ta2AgPb, computed with GGA-PBE.

The value obtained for the spin magnetization is 0.00 Bohr magnetons per cell. The volume comes out at 19.53 Å³/atom. The value obtained for the raw total energy is -7.02 eV per atom. As for the formation energy: 547 meV/atom.

```
Ta2AgPb
1.0
5.3360 -0.0029 0.0000
2.0381 4.9314 0.0000
-3.6871 -2.4642 2.9675
Ag Ta Pb
1 2 1
direct
0.5000 0.5000 0.0000
0.2500 0.7500 0.5000
0.0000 0.0000 0.0000
0.7500 0.2500 0.5000
```



(21)
A relaxed structure of CoTe6Pd2, computed with GGA-PBE.

The value obtained for the spin magnetization is 1.59 Bohr magnetons per cell. The volume comes out at 26.09 Å³/atom. The value obtained for the raw total energy is -4.10 eV per atom. As for the energy relative to the elements, uncorrected: -0.065 eV per atom. The energy above the most stable polymorph in this dataset is 216 meV per atom.

```
CoTe6Pd2
1.0
6.1484 0.0000 0.0000
0.0000 6.1484 0.0000
0.0000 0.0000 12.4212
Te Pd Co
12 4 2
direct
0.8114 0.1886 0.3433
0.2044 0.7956 0.0000
0.7044 0.7044 0.5000
0.3114 0.3114 0.8433
0.1886 0.8114 0.6567
0.1886 0.8114 0.3433
0.2956 0.2956 0.5000
0.6886 0.6886 0.8433
0.3114 0.3114 0.1567
0.6886 0.6886 0.1567
0.7956 0.2044 0.0000
0.8114 0.1886 0.6567
0.0000 0.0000 0.8321
0.5000 0.5000 0.3321
0.5000 0.5000 0.6679
0.0000 0.0000 0.1679
0.0000 0.0000 0.5000
0.5000 0.5000 0.0000
```



(22)
A relaxed structure of LiTb2Fe, computed with GGA-PBE.

The value obtained for the spin magnetization is 0.89 Bohr magnetons per cell. The volume comes out at 23.15 Å³/atom. The value obtained for the raw total energy is -4.84 eV per atom. As for the formation energy: 67 meV/atom.

```
LiTb2Fe
1.0
3.3951 0.0000 0.0000
0.0000 3.3951 0.0000
0.0000 0.0000 8.0352
Tb Fe Li
2 1 1
direct
0.0000 0.0000 0.7996
0.0000 0.0000 0.2004
0.5000 0.5000 0.0000
0.5000 0.5000 0.5000
```



(23)
A relaxed structure of SrNb2SnOs, computed with GGA-PBE.

The value obtained for the spin magnetization is 0.00 Bohr magnetons per cell. The volume comes out at 24.44 Å³/atom. The value obtained for the raw total energy is -4.48 eV per atom. As for the formation energy: 2929 meV/atom.

```
SrNb2SnOs
1.0
-1.6445 3.7729 -2.4001
-5.0293 -1.2870 1.4228
0.4234 2.6771 3.9184
Sn Nb Sr Os
1 2 1 1
direct
0.0000 0.5000 0.0000
0.0000 0.0000 0.5000
0.5000 0.0000 0.0000
0.0000 0.0000 0.0000
0.5000 0.5000 0.5000
```